## Zn3PtC (PBE)

Data for a relaxed Zn3PtC crystal.

```
data_Zn3PtC
_cell_length_a 4.836
_cell_length_b 4.836
_cell_length_c 4.836
_cell_angle_alpha 90.00
_cell_angle_beta 90.00
_cell_angle_gamma 90.00
_symmetry_space_group_name_H-M 'P 1'
_symmetry_Int_Tables_number 1
loop_
_symmetry_equiv_pos_as_xyz
'x,y,z'
loop_
_atom_site_label
_atom_site_fract_x
_atom_site_fract_y
_atom_site_fract_z
Zn1 0.000 0.000 0.500
Zn2 0.000 0.500 0.000
Zn3 0.500 0.000 0.000
Pt1 0.000 0.000 0.000
C1 0.500 0.500 0.500
```

E_tot = -0.18635 Ry per atom
Energy relative to the lowest polymorph listed for this composition = 0.918 eV/atom
Mass density = 5.92 g/cm³
Total moment = 1.994 μB per formula unit
DOS(E_F) = 0.50 states/eV per atom
Formation energy from the elements = 1.2818 eV per atom

## ZnPtC3 (PBE)

Data for a relaxed ZnPtC3 crystal.

```
data_ZnPtC3
_cell_length_a 3.903
_cell_length_b 3.903
_cell_length_c 3.903
_cell_angle_alpha 90.00
_cell_angle_beta 90.00
_cell_angle_gamma 90.00
_symmetry_space_group_name_H-M 'P 1'
_symmetry_Int_Tables_number 1
loop_
_symmetry_equiv_pos_as_xyz
'x,y,z'
loop_
_atom_site_label
_atom_site_fract_x
_atom_site_fract_y
_atom_site_fract_z
Zn1 0.000 0.000 0.000
Pt1 0.500 0.500 0.500
C1 0.000 0.000 0.500
C2 0.000 0.500 0.000
C3 0.500 0.000 0.000
```

E_tot = -0.30042 Ry per atom
Mass density = 8.28 g/cm³
Total moment = 0.000 μB per formula unit
DOS(E_F) = 0.28 states/eV per atom
Formation energy from the elements = 2.9099 eV per atom